# 1
{"formula": "Na2GaWBr", "functional": "PBE", "state": "optimized geometry", "lattice": [[5.953, 0.000, 0.000], [0.000, 4.733, 0.000], [0.000, 0.000, 5.953]], "species": ["W", "Na", "Na", "Ga", "Br"], "fractional_positions": [[0.000, 0.000, 0.000], [0.000, 0.000, 0.500], [0.500, 0.000, 0.000], [0.500, 0.500, 0.500], [0.000, 0.500, 0.000]], "formation_energy_uncorrected_mev_per_atom": 1074, "volume_a3_per_atom": 33.54}

=====

# 2
{"formula": "NbGa2Br", "functional": "PBE", "state": "optimized geometry", "lattice": [[8.479, 0.000, 0.000], [0.000, 8.479, 0.000], [4.240, 4.240, 2.568]], "species": ["Nb", "Nb", "Br", "Br", "Ga", "Ga", "Ga", "Ga"], "fractional_positions": [[0.750, 0.250, 0.500], [0.000, 0.000, 0.000], [0.250, 0.750, 0.500], [0.500, 0.500, 0.000], [0.691, 0.125, 0.250], [0.059, 0.625, 0.250], [0.375, 0.309, 0.750], [0.875, 0.941, 0.750]], "formation_energy_uncorrected_mev_per_atom": 400, "volume_a3_per_atom": 23.08}

=====

# 3
{"formula": "NbGaBr6", "functional": "PBE", "state": "optimized geometry", "lattice": [[7.007, 0.008, 0.009], [3.494, 6.071, 0.013], [3.492, 2.018, 6.352]], "species": ["Br", "Br", "Br", "Br", "Br", "Br", "Ga", "Nb"], "fractional_positions": [[0.790, 0.056, 0.769], [0.385, 0.790, 0.769], [0.615, 0.210, 0.231], [0.056, 0.386, 0.769], [0.944, 0.614, 0.231], [0.210, 0.944, 0.231], [0.500, 0.500, 0.500], [0.000, 0.000, 0.000]], "formation_energy_uncorrected_mev_per_atom": -752, "volume_a3_per_atom": 33.71}

=====

What is the formula in the first record? Na2GaWBr